Computed, not measured: an optimized crystal structure of CdGaAs2 at the PBE level of DFT.

Properties
Energy relative to the elements in meV per atom: -91
Energy relative to the lowest polymorph listed for this composition in kcal/mol of atoms: 0.00
SG: No. 122
Electronic total energy in eV per atom: -3.401
Size of the total moment in μB/cell: 0.00

Structure (POSCAR):
```
CdGaAs2
1.0
6.0375 0.0000 0.0000
0.0000 6.0375 0.0000
0.0000 0.0000 11.4746
Cd Ga As
4 4 8
Cartesian
0.0000 0.0000 0.0000
0.0000 3.0188 2.8686
3.0188 0.0000 8.6059
3.0188 3.0188 5.7373
0.0000 0.0000 5.7373
0.0000 3.0188 8.6059
3.0188 0.0000 2.8686
3.0188 3.0188 0.0000
1.3527 1.5094 7.1716
1.5094 4.3714 10.0402
1.5094 4.6849 4.3030
1.6661 1.5094 1.4343
4.3714 4.5281 1.4343
4.5281 1.3527 4.3030
4.5281 1.6661 10.0402
4.6849 4.5281 7.1716
```